Record 1
DFT (PBE) results for an optimized crystal structure of NdBeIr.

abc: 3.9652 3.9652 4.2018
angles: 90.00 90.00 120.00
Closest atoms and distances in Å follow each position.
Element x y z (fractional)
Nd 0.0000 0.0000 0.0000  6 Be 3.11, 6 Ir 3.11
Be 0.3333 0.6667 0.5000  3 Ir 2.29
Ir 0.6667 0.3333 0.5000  3 Be 2.29

- energy of formation from the pure elements (eV per atom) = -0.56
- SG = P-6m2
- E_tot (Ry/atom) = -0.467
- DOS(E_F) (states/eV/cell) = 1.03


Record 2
DFT (PBE) results for an optimized crystal structure of Ba3Sr2Zn4In2.

abc: 5.2249 5.2249 16.2067
angles: 90.00 90.00 120.00
Closest atoms and distances in Å follow each position.
Element x y z (fractional)
Ba 0.0000 0.0000 0.0000  6 Zn 3.72, 6 In 3.82, 2 Ba 4.09
Ba 0.0000 0.0000 0.2524  6 Zn 3.37-3.58, 3 In 3.49
Ba 0.0000 0.0000 0.7476  6 Zn 3.37-3.58, 3 In 3.49
Sr 0.3333 0.6667 0.5729  3 Zn 3.30
Sr 0.6667 0.3333 0.4271  3 Zn 3.30
Zn 0.3333 0.6667 0.3448  1 In 3.25, 3 Sr 3.30, 3 Ba 3.37
Zn 0.3333 0.6667 0.8661  3 In 3.02
Zn 0.6667 0.3333 0.1339  3 In 3.02
Zn 0.6667 0.3333 0.6552  1 In 3.25, 3 Sr 3.30, 3 Ba 3.37
In 0.3333 0.6667 0.1443  4 Zn 3.02-3.25
In 0.6667 0.3333 0.8557  4 Zn 3.02-3.25

- energy of formation from the pure elements (eV per atom) = -0.17
- SG = P-3m1
- E_tot (Ry/atom) = -0.144
- DOS(E_F) (states/eV/cell) = 6.12